w.
{"formula": "Ca2Ta2Cd", "functional": "PBE", "state": "relaxed", "rho_g_cm3": 6.96, "dos_at_fermi_per_ev_cell": 7.84, "total_magnetization_mub_per_fu": 0.000, "crystal_system": "tetragonal", "cell": [[9.116, 0.000, 0.000], [0.000, 9.116, 0.000], [0.000, 0.000, 3.183]], "species": ["Ca", "Ca", "Ca", "Ca", "Ta", "Ta", "Ta", "Ta", "Cd", "Cd"], "fractional_positions": [[0.198, 0.302, 0.000], [0.302, 0.802, 0.000], [0.698, 0.198, 0.000], [0.802, 0.698, 0.000], [0.094, 0.594, 0.500], [0.406, 0.094, 0.500], [0.594, 0.906, 0.500], [0.906, 0.406, 0.500], [0.000, 0.000, 0.500], [0.500, 0.500, 0.500]]}

***

x.
{"formula": "Ca2Ta2Cd", "functional": "PBE", "state": "relaxed", "rho_g_cm3": 7.06, "dos_at_fermi_per_ev_cell": 2.77, "total_magnetization_mub_per_fu": 0.000, "crystal_system": "tetragonal", "cell": [[-2.125, 2.125, 7.221], [2.125, -2.125, 7.221], [2.125, 2.125, -7.221]], "species": ["Ca", "Ca", "Ta", "Ta", "Cd"], "fractional_positions": [[0.250, 0.750, 0.500], [0.750, 0.250, 0.500], [0.079, 0.079, 0.000], [0.921, 0.921, 0.000], [0.500, 0.500, 0.000]]}

***

Verdict on stability: x comes out at the bottom.

***

w.
{"formula": "CaTaCd", "functional": "PBE", "state": "relaxed", "rho_g_cm3": 8.07, "dos_at_fermi_per_ev_cell": 3.33, "total_magnetization_mub_per_fu": 0.404, "crystal_system": "trigonal", "cell": [[3.141, 0.000, 0.000], [-1.570, 2.720, 0.000], [0.000, 0.000, 8.034]], "species": ["Ca", "Ta", "Cd"], "fractional_positions": [[0.000, 0.000, 0.000], [0.667, 0.333, 0.666], [0.333, 0.667, 0.354]]}

***

x.
{"formula": "CaTaCd", "functional": "PBE", "state": "relaxed", "rho_g_cm3": 7.73, "dos_at_fermi_per_ev_cell": 2.74, "total_magnetization_mub_per_fu": 0.000, "crystal_system": "orthorhombic", "cell": [[-1.487, 2.100, 5.733], [1.487, -2.100, 5.733], [1.487, 2.100, -5.733]], "species": ["Ca", "Ta", "Cd"], "fractional_positions": [[0.000, 0.000, 0.000], [0.305, 0.305, 0.000], [0.681, 0.681, 0.000]]}

***

y.
{"formula": "CaTaCd", "functional": "PBE", "state": "relaxed", "rho_g_cm3": 8.08, "dos_at_fermi_per_ev_cell": 4.04, "total_magnetization_mub_per_fu": 0.000, "crystal_system": "tetragonal", "cell": [[-1.556, 1.556, 7.071], [1.556, -1.556, 7.071], [1.556, 1.556, -7.071]], "species": ["Ca", "Ta", "Cd"], "fractional_positions": [[0.000, 0.000, 0.000], [0.674, 0.674, 0.000], [0.322, 0.322, 0.000]]}

***

z.
{"formula": "CaTaCd", "functional": "PBE", "state": "relaxed", "rho_g_cm3": 6.77, "dos_at_fermi_per_ev_cell": 3.95, "total_magnetization_mub_per_fu": 1.287, "crystal_system": "cubic", "cell": [[0.000, 3.446, 3.446], [3.446, 0.000, 3.446], [3.446, 3.446, 0.000]], "species": ["Ca", "Ta", "Cd"], "fractional_positions": [[0.000, 0.000, 0.000], [0.500, 0.500, 0.500], [0.250, 0.250, 0.250]]}

***

Verdict on stability: z comes out at the bottom.

***

w.
{"formula": "Ca2TaCd2", "functional": "PBE", "state": "relaxed", "rho_g_cm3": 6.20, "dos_at_fermi_per_ev_cell": 8.64, "total_magnetization_mub_per_fu": 0.004, "crystal_system": "tetragonal", "cell": [[-2.170, 2.170, 6.902], [2.170, -2.170, 6.902], [2.170, 2.170, -6.902]], "species": ["Ca", "Ca", "Ta", "Cd", "Cd"], "fractional_positions": [[0.250, 0.750, 0.500], [0.750, 0.250, 0.500], [0.000, 0.000, 0.000], [0.407, 0.407, 0.000], [0.593, 0.593, 0.000]]}

***

x.
{"formula": "Ca2TaCd2", "functional": "PBE", "state": "relaxed", "rho_g_cm3": 6.35, "dos_at_fermi_per_ev_cell": 4.94, "total_magnetization_mub_per_fu": 0.899, "crystal_system": "tetragonal", "cell": [[8.549, 0.000, 0.000], [0.000, 8.549, 0.000], [0.000, 0.000, 3.479]], "species": ["Ca", "Ca", "Ca", "Ca", "Ta", "Ta", "Cd", "Cd", "Cd", "Cd"], "fractional_positions": [[0.174, 0.326, 0.000], [0.326, 0.826, 0.000], [0.674, 0.174, 0.000], [0.826, 0.674, 0.000], [0.000, 0.000, 0.500], [0.500, 0.500, 0.500], [0.127, 0.627, 0.500], [0.373, 0.127, 0.500], [0.627, 0.873, 0.500], [0.873, 0.373, 0.500]]}

***

Verdict on stability: w comes out at the bottom.

***

w.
{"formula": "CaTb3Cd2", "functional": "PBE", "state": "relaxed", "rho_g_cm3": 7.03, "dos_at_fermi_per_ev_cell": 14.27, "total_magnetization_mub_per_fu": 0.000, "crystal_system": "orthorhombic", "cell": [[5.283, 0.000, 0.000], [0.000, 9.568, 0.000], [0.000, 0.000, 6.935]], "species": ["Ca", "Ca", "Tb", "Tb", "Tb", "Tb", "Tb", "Tb", "Cd", "Cd", "Cd", "Cd"], "fractional_positions": [[0.000, 0.044, 0.000], [0.000, 0.956, 0.500], [0.000, 0.327, 0.655], [0.000, 0.673, 0.155], [0.500, 0.180, 0.303], [0.500, 0.454, 0.960], [0.500, 0.546, 0.460], [0.500, 0.820, 0.803], [0.000, 0.352, 0.204], [0.000, 0.648, 0.704], [0.500, 0.152, 0.755], [0.500, 0.848, 0.255]]}

***

x.
{"formula": "CaTb3Cd2", "functional": "PBE", "state": "relaxed", "rho_g_cm3": 6.97, "dos_at_fermi_per_ev_cell": 13.03, "total_magnetization_mub_per_fu": 0.000, "crystal_system": "monoclinic", "cell": [[7.974, -2.741, 0.000], [7.974, 2.741, 0.000], [-4.315, 0.000, 8.086]], "species": ["Ca", "Ca", "Tb", "Tb", "Tb", "Tb", "Tb", "Tb", "Cd", "Cd", "Cd", "Cd"], "fractional_positions": [[0.137, 0.137, 0.184], [0.863, 0.863, 0.816], [0.060, 0.060, 0.714], [0.310, 0.310, 0.003], [0.383, 0.383, 0.456], [0.617, 0.617, 0.544], [0.690, 0.690, 0.997], [0.940, 0.940, 0.286], [0.232, 0.232, 0.604], [0.472, 0.472, 0.828], [0.528, 0.528, 0.172], [0.768, 0.768, 0.396]]}

***

Verdict on stability: x comes out at the bottom.

***

w.
{"formula": "CaTbCd", "functional": "PBE", "state": "relaxed", "rho_g_cm3": 5.74, "dos_at_fermi_per_ev_cell": 3.90, "total_magnetization_mub_per_fu": 0.000, "crystal_system": "trigonal", "cell": [[5.360, 0.000, 0.000], [-2.680, 4.642, 0.000], [0.000, 0.000, 3.622]], "species": ["Ca", "Tb", "Cd"], "fractional_positions": [[0.000, 0.000, 0.000], [0.667, 0.333, 0.561], [0.333, 0.667, 0.273]]}

***

x.
{"formula": "CaTbCd", "functional": "PBE", "state": "relaxed", "rho_g_cm3": 5.59, "dos_at_fermi_per_ev_cell": 3.38, "total_magnetization_mub_per_fu": 0.268, "crystal_system": "tetragonal", "cell": [[-1.856, 1.856, 6.718], [1.856, -1.856, 6.718], [1.856, 1.856, -6.718]], "species": ["Ca", "Tb", "Cd"], "fractional_positions": [[0.000, 0.000, 0.000], [0.290, 0.290, 0.000], [0.653, 0.653, 0.000]]}

***

Verdict on stability: w comes out at the bottom.

***

w.
{"formula": "CaTbZnCd", "functional": "PBE", "state": "relaxed", "rho_g_cm3": 6.13, "dos_at_fermi_per_ev_cell": 3.95, "total_magnetization_mub_per_fu": 0.000, "crystal_system": "cubic", "cell": [[0.000, 3.709, 3.709], [3.709, 0.000, 3.709], [3.709, 3.709, 0.000]], "species": ["Ca", "Tb", "Zn", "Cd"], "fractional_positions": [[0.000, 0.000, 0.000], [0.500, 0.500, 0.500], [0.250, 0.250, 0.250], [0.750, 0.750, 0.750]]}

***

x.
{"formula": "CaTbZnCd", "functional": "PBE", "state": "relaxed", "rho_g_cm3": 6.10, "dos_at_fermi_per_ev_cell": 3.41, "total_magnetization_mub_per_fu": 0.000, "crystal_system": "tetragonal", "cell": [[3.713, 0.000, 0.000], [0.000, 3.713, 0.000], [0.000, 0.000, 7.437]], "species": ["Ca", "Tb", "Zn", "Cd"], "fractional_positions": [[0.000, 0.000, 0.000], [0.000, 0.000, 0.529], [0.500, 0.500, 0.745], [0.500, 0.500, 0.274]]}

***

Verdict on stability: w comes out at the bottom.

***

w.
{"formula": "CaCdTc", "functional": "PBE", "state": "relaxed", "rho_g_cm3": 5.05, "dos_at_fermi_per_ev_cell": 1.52, "total_magnetization_mub_per_fu": 3.066, "crystal_system": "cubic", "cell": [[0.000, 3.453, 3.453], [3.453, 0.000, 3.453], [3.453, 3.453, 0.000]], "species": ["Ca", "Cd", "Tc"], "fractional_positions": [[0.000, 0.000, 0.000], [0.750, 0.750, 0.750], [0.250, 0.250, 0.250]]}

***

x.
{"formula": "CaCdTc", "functional": "PBE", "state": "relaxed", "rho_g_cm3": 6.72, "dos_at_fermi_per_ev_cell": 3.30, "total_magnetization_mub_per_fu": 0.335, "crystal_system": "orthorhombic", "cell": [[0.000, 2.101, 7.052], [2.090, 0.000, 7.052], [2.090, 2.101, 0.000]], "species": ["Ca", "Cd", "Tc"], "fractional_positions": [[0.000, 0.000, 0.000], [0.311, 0.311, 0.689], [0.663, 0.663, 0.337]]}

***

y.
{"formula": "CaCdTc", "functional": "PBE", "state": "relaxed", "rho_g_cm3": 6.75, "dos_at_fermi_per_ev_cell": 2.76, "total_magnetization_mub_per_fu": 0.000, "crystal_system": "orthorhombic", "cell": [[-1.437, 2.266, 4.735], [1.437, -2.266, 4.735], [1.437, 2.266, -4.735]], "species": ["Ca", "Cd", "Tc"], "fractional_positions": [[0.000, 0.000, 0.000], [0.682, 0.682, 0.000], [0.325, 0.325, 0.000]]}

***

z.
{"formula": "CaCdTc", "functional": "PBE", "state": "relaxed", "rho_g_cm3": 5.30, "dos_at_fermi_per_ev_cell": 3.02, "total_magnetization_mub_per_fu": 2.458, "crystal_system": "cubic", "cell": [[0.000, 3.399, 3.399], [3.399, 0.000, 3.399], [3.399, 3.399, 0.000]], "species": ["Ca", "Cd", "Tc"], "fractional_positions": [[0.000, 0.000, 0.000], [0.500, 0.500, 0.500], [0.250, 0.250, 0.250]]}

***

Verdict on stability: w comes out at the bottom.

***

w.
{"formula": "CaCd2Tc", "functional": "PBE", "state": "relaxed", "rho_g_cm3": 7.24, "dos_at_fermi_per_ev_cell": 2.91, "total_magnetization_mub_per_fu": 0.000, "crystal_system": "monoclinic", "cell": [[5.442, 0.000, 0.000], [0.000, 3.000, 0.000], [-1.973, 0.000, 5.099]], "species": ["Ca", "Cd", "Cd", "Tc"], "fractional_positions": [[0.000, 0.000, 0.000], [0.000, 0.500, 0.500], [0.500, 0.000, 0.500], [0.500, 0.500, 0.000]]}

***

x.
{"formula": "CaCd2Tc", "functional": "PBE", "state": "relaxed", "rho_g_cm3": 7.01, "dos_at_fermi_per_ev_cell": 3.19, "total_magnetization_mub_per_fu": 0.891, "crystal_system": "trigonal", "cell": [[1.570, 0.906, 10.068], [-1.570, 0.906, 10.068], [0.000, -1.813, 10.068]], "species": ["Ca", "Cd", "Cd", "Tc"], "fractional_positions": [[0.000, 0.000, 0.000], [0.241, 0.241, 0.241], [0.759, 0.759, 0.759], [0.500, 0.500, 0.500]]}

***

Verdict on stability: x comes out at the bottom.

***

w.
{"formula": "CaCd2Tc", "functional": "PBE", "state": "relaxed", "rho_g_cm3": 7.14, "dos_at_fermi_per_ev_cell": 7.18, "total_magnetization_mub_per_fu": 0.997, "crystal_system": "cubic", "cell": [[0.000, 3.482, 3.482], [3.482, 0.000, 3.482], [3.482, 3.482, 0.000]], "species": ["Ca", "Cd", "Cd", "Tc"], "fractional_positions": [[0.000, 0.000, 0.000], [0.500, 0.500, 0.500], [0.750, 0.750, 0.750], [0.250, 0.250, 0.250]]}

***

x.
{"formula": "CaCd2Tc", "functional": "PBE", "state": "relaxed", "rho_g_cm3": 7.15, "dos_at_fermi_per_ev_cell": 4.65, "total_magnetization_mub_per_fu": 1.265, "crystal_system": "tetragonal", "cell": [[-2.241, 2.241, 4.195], [2.241, -2.241, 4.195], [2.241, 2.241, -4.195]], "species": ["Ca", "Cd", "Cd", "Tc"], "fractional_positions": [[0.000, 0.000, 0.000], [0.250, 0.750, 0.500], [0.750, 0.250, 0.500], [0.500, 0.500, 0.000]]}

***

Verdict on stability: w comes out at the bottom.

***

w.
{"formula": "CaCd2Tc", "functional": "PBE", "state": "relaxed", "rho_g_cm3": 6.88, "dos_at_fermi_per_ev_cell": 3.18, "total_magnetization_mub_per_fu": 1.252, "crystal_system": "orthorhombic", "cell": [[-1.707, 2.482, 5.168], [1.707, -2.482, 5.168], [1.707, 2.482, -5.168]], "species": ["Ca", "Cd", "Cd", "Tc"], "fractional_positions": [[0.000, 0.000, 0.000], [0.281, 0.781, 0.500], [0.719, 0.219, 0.500], [0.500, 0.500, 0.000]]}

***

x.
{"formula": "CaCd2Tc", "functional": "PBE", "state": "relaxed", "rho_g_cm3": 7.40, "dos_at_fermi_per_ev_cell": 4.01, "total_magnetization_mub_per_fu": 0.000, "crystal_system": "orthorhombic", "cell": [[3.043, -4.397, 0.000], [3.043, 4.397, 0.000], [0.000, 0.000, 3.043]], "species": ["Ca", "Cd", "Cd", "Tc"], "fractional_positions": [[0.000, 0.000, 0.000], [0.000, 0.500, 0.500], [0.500, 0.000, 0.500], [0.500, 0.500, 0.000]]}

***

Verdict on stability: x comes out at the bottom.

***

w.
{"formula": "CaThCd", "functional": "PBE", "state": "relaxed", "rho_g_cm3": 6.99, "dos_at_fermi_per_ev_cell": 6.78, "total_magnetization_mub_per_fu": 0.000, "crystal_system": "orthorhombic", "cell": [[1.810, -9.000, 0.000], [1.810, 9.000, 0.000], [0.000, 0.000, 5.605]], "species": ["Ca", "Ca", "Th", "Th", "Cd", "Cd"], "fractional_positions": [[0.080, 0.920, 0.750], [0.920, 0.080, 0.250], [0.232, 0.768, 0.250], [0.768, 0.232, 0.750], [0.426, 0.574, 0.750], [0.574, 0.426, 0.250]]}

***

x.
{"formula": "CaThCd", "functional": "PBE", "state": "relaxed", "rho_g_cm3": 6.94, "dos_at_fermi_per_ev_cell": 4.46, "total_magnetization_mub_per_fu": 0.034, "crystal_system": "tetragonal", "cell": [[-1.767, 1.767, 7.366], [1.767, -1.767, 7.366], [1.767, 1.767, -7.366]], "species": ["Ca", "Th", "Cd"], "fractional_positions": [[0.000, 0.000, 0.000], [0.301, 0.301, 0.000], [0.647, 0.647, 0.000]]}

***

Verdict on stability: x comes out at the bottom.

***

w.
{"formula": "CaThCd4", "functional": "PBE", "state": "relaxed", "rho_g_cm3": 7.85, "dos_at_fermi_per_ev_cell": 4.33, "total_magnetization_mub_per_fu": 0.000, "crystal_system": "cubic", "cell": [[0.000, 4.241, 4.241], [4.241, 0.000, 4.241], [4.241, 4.241, 0.000]], "species": ["Ca", "Th", "Cd", "Cd", "Cd", "Cd"], "fractional_positions": [[0.000, 0.000, 0.000], [0.750, 0.750, 0.750], [0.375, 0.375, 0.375], [0.375, 0.375, 0.874], [0.375, 0.874, 0.375], [0.874, 0.375, 0.375]]}

***

x.
{"formula": "CaThCd4", "functional": "PBE", "state": "relaxed", "rho_g_cm3": 7.07, "dos_at_fermi_per_ev_cell": 6.53, "total_magnetization_mub_per_fu": 0.000, "crystal_system": "tetragonal", "cell": [[-2.175, 2.175, 8.954], [2.175, -2.175, 8.954], [2.175, 2.175, -8.954]], "species": ["Ca", "Th", "Cd", "Cd", "Cd", "Cd"], "fractional_positions": [[0.000, 0.000, 0.000], [0.750, 0.250, 0.500], [0.171, 0.671, 0.500], [0.329, 0.829, 0.500], [0.422, 0.422, 0.000], [0.578, 0.578, 0.000]]}

***

Verdict on stability: x comes out at the bottom.